Record 1
A plane-wave DFT calculation with PBE was carried out for a geometry-optimized AcDyLu2 structure.

```
4
Lattice="-1.285 -2.104 -5.195 4.211 -1.467 -3.630 0.978 -5.542 -1.180" Properties=species:S:1:pos:R:3 pbc="T T T"
Ac 1.952 -4.557 -5.003
Lu 0.976 -2.278 -2.501
Lu 2.928 -6.835 -7.504
Dy 0.000 0.000 0.000
```

Calculated values
Total moment (μB per cell): 0.00
Space-group type: Fm-3m (225)
Offset from the most stable computed form (meV per atom): 27
Energy of formation from the pure elements (eV per formula unit): 0.422

Record 2
A plane-wave DFT calculation with PBE was carried out for a geometry-optimized Cr2CoAg structure.

```
4
Lattice="-1.090 -2.680 -0.617 2.007 -0.326 -2.128 5.905 -2.846 1.932" Properties=species:S:1:pos:R:3 pbc="T T T"
Ag 3.991 -1.609 -0.062
Co 5.562 -3.831 -0.274
Cr 5.868 -2.823 1.896
Cr 1.261 -2.021 -0.540
```

Calculated values
Total moment (μB per cell): 1.72
Space-group type: Pmm2 (25)
Offset from the most stable computed form (meV per atom): 0
Energy of formation from the pure elements (eV per formula unit): 1.396

Record 3
A plane-wave DFT calculation with PBE was carried out for a geometry-optimized SrLiCu2 structure.

```
4
Lattice="5.123 -0.199 0.000 1.485 4.908 0.000 -3.304 -2.354 3.135" Properties=species:S:1:pos:R:3 pbc="T T T"
Cu 0.000 0.000 0.000
Cu 0.742 2.454 1.568
Li 3.304 2.354 0.000
Sr 2.562 -0.100 1.568
```

Calculated values
Total moment (μB per cell): 0.00
Space-group type: I-4m2 (119)
Offset from the most stable computed form (meV per atom): 208
Energy of formation from the pure elements (eV per formula unit): 0.635